w | Density functional theory data (GGA-PBE) for an optimized crystal structure of InCuReNi.

Results
**Crystal system**: cubic

abc: 4.3805 4.3805 4.3805
angles: 60.00 60.00 60.00
Closest atoms and distances in Å follow each position.
Fractional positions:
In: 0.0000 0.0000 0.0000  4 Re 2.68, 4 Cu 2.68
Cu: 0.2500 0.2500 0.2500  4 In 2.68, 4 Ni 2.68
Re: 0.7500 0.7500 0.7500  4 In 2.68, 4 Ni 2.68
Ni: 0.5000 0.5000 0.5000  4 Re 2.68, 4 Cu 2.68

x | Density functional theory data (GGA-PBE) for an optimized crystal structure of InCuReNi.

Results
**Crystal system**: cubic

abc: 4.3395 4.3395 4.3395
angles: 60.00 60.00 60.00
Closest atoms and distances in Å follow each position.
Fractional positions:
In: 0.0000 0.0000 0.0000  4 Ni 2.66, 4 Cu 2.66
Cu: 0.2500 0.2500 0.2500  4 Re 2.66, 4 In 2.66
Re: 0.5000 0.5000 0.5000  4 Ni 2.66, 4 Cu 2.66
Ni: 0.7500 0.7500 0.7500  4 Re 2.66, 4 In 2.66

Which of them is most stable? Easy: x.

w | Density functional theory data (GGA-PBE) for an optimized crystal structure of InCuSiNi.

Results
**Crystal system**: cubic

abc: 4.4108 4.4108 4.4108
angles: 60.00 60.00 60.00
Closest atoms and distances in Å follow each position.
Fractional positions:
In: 0.0000 0.0000 0.0000  4 Ni 2.70, 4 Si 2.70
Cu: 0.5000 0.5000 0.5000  4 Ni 2.70, 4 Si 2.70
Si: 0.2500 0.2500 0.2500  4 Cu 2.70, 4 In 2.70
Ni: 0.7500 0.7500 0.7500  4 Cu 2.70, 4 In 2.70

x | Density functional theory data (GGA-PBE) for an optimized crystal structure of InCuSiNi.

Results
**Crystal system**: cubic

abc: 4.3428 4.3428 4.3428
angles: 60.00 60.00 60.00
Closest atoms and distances in Å follow each position.
Fractional positions:
In: 0.0000 0.0000 0.0000  4 Ni 2.66, 4 Cu 2.66
Cu: 0.7500 0.7500 0.7500  4 Si 2.66, 4 In 2.66
Si: 0.5000 0.5000 0.5000  4 Cu 2.66, 4 Ni 2.66
Ni: 0.2500 0.2500 0.2500  4 Si 2.66, 4 In 2.66

Which of them is most stable? Easy: x.

w | Density functional theory data (GGA-PBE) for an optimized crystal structure of InCuTcNi.

Results
**Crystal system**: cubic

abc: 4.3717 4.3717 4.3717
angles: 60.00 60.00 60.00
Closest atoms and distances in Å follow each position.
Fractional positions:
In: 0.0000 0.0000 0.0000  4 Tc 2.68, 4 Cu 2.68
Cu: 0.2500 0.2500 0.2500  4 In 2.68, 4 Ni 2.68
Tc: 0.7500 0.7500 0.7500  4 In 2.68, 4 Ni 2.68
Ni: 0.5000 0.5000 0.5000  4 Tc 2.68, 4 Cu 2.68

x | Density functional theory data (GGA-PBE) for an optimized crystal structure of InCuTcNi.

Results
**Crystal system**: cubic

abc: 4.3485 4.3485 4.3485
angles: 60.00 60.00 60.00
Closest atoms and distances in Å follow each position.
Fractional positions:
In: 0.0000 0.0000 0.0000  4 Ni 2.66, 4 Cu 2.66
Cu: 0.2500 0.2500 0.2500  4 Tc 2.66, 4 In 2.66
Tc: 0.5000 0.5000 0.5000  4 Ni 2.66, 4 Cu 2.66
Ni: 0.7500 0.7500 0.7500  4 Tc 2.66, 4 In 2.66

Which of them is most stable? Easy: x.